Cs2CrBr6O: relaxed, PBE with a Hubbard U.

Cell and atoms, written as POSCAR:
```
Cs2CrBr6O
1.0
7.552 0.000 0.000
0.000 7.552 0.000
3.776 3.776 5.780
Br Cs O Cr
6 2 1 1
Cartesian
5.737 5.737 0.000 Br
1.815 1.815 0.000 Br
5.737 1.815 0.000 Br
7.552 7.552 2.541 Br
3.776 3.776 3.239 Br
1.815 5.737 0.000 Br
7.552 3.776 2.890 Cs
3.776 7.552 2.890 Cs
3.776 3.776 0.000 O
0.000 0.000 0.000 Cr
```

## Properties
total energy: -3.18 eV per atom
magnetization: 0.000 μB per formula unit